# 1
Entry from Alexandria via LeMat-Bulk: a geometry-optimized Ba6In2NO structure (GGA-PBE).

Cell and atoms, written as extended XYZ:
```
10
Lattice="0.000 5.601 5.601 5.601 0.000 5.601 5.601 5.601 0.000" Properties=species:S:1:pos:R:3 pbc="T T T"
Ba 5.601 5.601 2.781
Ba 5.601 2.781 5.601
Ba 8.420 5.601 5.601
Ba 2.781 5.601 5.601
Ba 5.601 8.420 5.601
Ba 5.601 5.601 8.420
In 2.800 2.800 2.800
In 8.401 8.401 8.401
N 0.000 0.000 0.000
O 5.601 5.601 5.601
```

crystal system: cubic
VASP energy: -3.806 eV per atom
symmetry: Fm-3m, No. 225
formation energy without anion corrections: -0.777 eV per atom

***

# 2
Entry from Alexandria via LeMat-Bulk: a geometry-optimized BaInNO2 structure (GGA-PBE).

Cell and atoms, written as extended XYZ:
```
5
Lattice="4.935 0.000 0.000 0.000 4.935 0.000 0.000 0.000 5.213" Properties=species:S:1:pos:R:3 pbc="T T T"
Ba 0.000 0.000 0.000
In 2.467 2.467 2.606
N 0.000 0.000 2.606
O 0.000 2.467 0.000
O 2.467 0.000 0.000
```

crystal system: tetragonal
VASP energy: -4.227 eV per atom
symmetry: P4/mmm, No. 123
formation energy without anion corrections: 0.354 eV per atom

***

# 3
Entry from Alexandria via LeMat-Bulk: a geometry-optimized BaInNO2 structure (GGA-PBE).

Cell and atoms, written as extended XYZ:
```
5
Lattice="4.365 0.000 0.000 0.000 4.365 0.000 0.000 0.000 4.302" Properties=species:S:1:pos:R:3 pbc="T T T"
Ba 0.000 0.000 0.000
In 2.183 2.183 2.151
N 2.183 2.183 0.000
O 0.000 2.183 2.151
O 2.183 0.000 2.151
```

crystal system: tetragonal
VASP energy: -5.448 eV per atom
symmetry: P4/mmm, No. 123
formation energy without anion corrections: -0.868 eV per atom